1.
# SmLuAu2 (PBE, relaxed)
# DFT formation energy   -0.85 eV/atom
# Fermi-level density of states   0.48 states/eV per atom
data_SmLuAu2
_space_group_name_H-M_alt 'P 4/m m m'
_space_group_IT_number 123
_space_group_name_Hall '-P 4 2'
_cell_length_a 3.5591
_cell_length_b 3.5591
_cell_length_c 7.3434
_cell_angle_alpha 90.00
_cell_angle_beta 90.00
_cell_angle_gamma 90.00
loop_
_atom_site_label
_atom_site_type_symbol
_atom_site_fract_x
_atom_site_fract_y
_atom_site_fract_z
Sm1 Sm 0.0000 0.0000 0.0000
Lu1 Lu 0.0000 0.0000 0.5000
Au1 Au 0.5000 0.5000 0.2729

=====

2.
# HfHF2 (PBE, relaxed)
# Distance to the lowest polymorph of the same formula   0.990 eV per formula unit
# Fermi-level density of states   0.45 states/eV per atom
data_HfHF2
_space_group_name_H-M_alt 'F m -3 m'
_space_group_IT_number 225
_space_group_name_Hall '-F 4 2 3'
_cell_length_a 5.3549
_cell_length_b 5.3549
_cell_length_c 5.3549
_cell_angle_alpha 90.00
_cell_angle_beta 90.00
_cell_angle_gamma 90.00
loop_
_atom_site_label
_atom_site_type_symbol
_atom_site_fract_x
_atom_site_fract_y
_atom_site_fract_z
Hf1 Hf 0.0000 0.0000 0.0000
H1 H 0.0000 0.0000 0.5000
F1 F 0.2500 0.2500 0.2500

=====

3.
# LaCo2P (PBE, relaxed)
# DFT formation energy   -0.19 eV/atom
# Fermi-level density of states   0.90 states/eV per atom
data_LaCo2P
_space_group_name_H-M_alt 'I m m m'
_space_group_IT_number 71
_space_group_name_Hall '-I 2 2'
_cell_length_a 3.7981
_cell_length_b 5.3178
_cell_length_c 6.5609
_cell_angle_alpha 90.00
_cell_angle_beta 90.00
_cell_angle_gamma 90.00
loop_
_atom_site_label
_atom_site_type_symbol
_atom_site_fract_x
_atom_site_fract_y
_atom_site_fract_z
La1 La 0.0000 0.0000 0.0000
Co1 Co 0.0000 0.5000 0.1863
P1 P 0.0000 0.0000 0.5000